(1)
# Nd2Sm3Dy6Th

A geometry-optimized Nd2Sm3Dy6Th structure (PBE-GGA, the Alexandria database).

Cell: 6.239 10.795 11.821 Å, 90.00 100.10 90.00°
Space group C2/m (No. 12)
Symmetry-distinct sites (fractional):
Nd  0.000  0.167  0.000
Sm  0.000  0.000  0.500
Sm  0.000  0.333  0.500
Dy  0.246  0.500  0.751
Dy  0.248  0.335  0.249
Th  0.000  0.500  0.000

energy of formation: 0.025 eV per atom



(2)
# ZnSn2Pb

A geometry-optimized ZnSn2Pb structure (PBE-GGA, the Alexandria database).

Cell: 4.664 4.664 4.842 Å, 90.00 90.00 90.00°
Space group P4/mmm (No. 123)
Symmetry-distinct sites (fractional):
Zn  0.000  0.000  0.000
Sn  0.000  0.500  0.500
Pb  0.500  0.500  0.000

energy of formation: 0.123 eV per atom
energy relative to the lowest polymorph listed for this composition: 2.3 kJ/mol of atoms



(3)
# NdCd4In

A geometry-optimized NdCd4In structure (PBE-GGA, the Alexandria database).

Cell: 8.473 8.473 8.473 Å, 90.00 90.00 90.00°
Space group F-43m (No. 216)
Symmetry-distinct sites (fractional):
Nd  0.000  0.000  0.000
Cd  0.125  0.125  0.375
In  0.250  0.250  0.750

energy of formation: -0.124 eV per atom
energy relative to the lowest polymorph listed for this composition: 11.5 kJ/mol of atoms



(4)
# Tb8IrRh5

A geometry-optimized Tb8IrRh5 structure (PBE-GGA, the Alexandria database).

Cell: 8.621 8.621 8.605 Å, 90.00 90.00 90.00°
Space group I-4 (No. 82)
Symmetry-distinct sites (fractional):
Tb  0.060  0.187  0.191
Tb  0.063  0.312  0.565
Ir  0.000  0.000  0.500
Rh  0.000  0.500  0.250
Rh  0.123  0.250  0.878

energy of formation: -0.747 eV per atom



no.,E (Ry/atom)
1,-0.3579
2,-0.2296
3,-0.1459
4,-0.4889